Record 1
Computed, not measured: an optimized crystal structure of Fe2Ir2Pd at the PBE level of DFT.

a = 7.1910 Å, b = 7.1910 Å, c = 2.6539 Å
α = 90.00°, β = 90.00°, γ = 90.00°
Closest atoms and distances in Å follow each position.
Fractional coordinates of all 10 atoms:
Fe1 0.1665 0.3335 0.0000  6 Ir 2.46-2.52, 2 Fe 2.65
Fe2 0.3335 0.8335 0.0000  6 Ir 2.46-2.52, 2 Fe 2.65
Fe3 0.6665 0.1665 0.0000  6 Ir 2.46-2.52, 2 Fe 2.65
Fe4 0.8335 0.6665 0.0000  6 Ir 2.46-2.52, 2 Fe 2.65
Ir1 0.1294 0.6294 0.5000  6 Fe 2.46-2.52, 3 Ir 2.63-2.65
Ir2 0.3706 0.1294 0.5000  6 Fe 2.46-2.52, 3 Ir 2.63-2.65
Ir3 0.6294 0.8706 0.5000  6 Fe 2.46-2.52, 3 Ir 2.63-2.65
Ir4 0.8706 0.3706 0.5000  6 Fe 2.46-2.52, 3 Ir 2.63-2.65
Pd1 0.0000 0.0000 0.5000  2 Pd 2.65, 4 Ir 2.82
Pd2 0.5000 0.5000 0.5000  2 Pd 2.65, 4 Ir 2.82

Properties
Size of the total moment ... 0.00 μB/f.u.
Volume ... 13.72 Å³ per atom
Space-group type ... P4/mbm (127)
DFT formation energy ... 0.236 eV/atom
Final energy ... -7.732 eV/atom

---

Record 2
Computed, not measured: an optimized crystal structure of Fe6IrPd8 at the PBE level of DFT.

a = 6.6965 Å, b = 6.6965 Å, c = 6.6965 Å
α = 61.57°, β = 61.57°, γ = 61.57°
Closest atoms and distances in Å follow each position.
Fractional coordinates of all 15 atoms:
Fe1 0.0484 0.5444 0.7811  1 Fe 2.50, 5 Pd 2.59-2.74, 1 Ir 2.65
Fe2 0.2189 0.9516 0.4556  1 Fe 2.50, 5 Pd 2.59-2.74, 1 Ir 2.65
Fe3 0.4556 0.2189 0.9516  1 Fe 2.50, 5 Pd 2.59-2.74, 1 Ir 2.65
Fe4 0.5444 0.7811 0.0484  1 Fe 2.50, 5 Pd 2.59-2.74, 1 Ir 2.65
Fe5 0.7811 0.0484 0.5444  1 Fe 2.50, 5 Pd 2.59-2.74, 1 Ir 2.65
Fe6 0.9516 0.4556 0.2189  1 Fe 2.50, 5 Pd 2.59-2.74, 1 Ir 2.65
Ir1 0.5000 0.5000 0.5000  6 Fe 2.65, 6 Pd 2.68
Pd1 0.0899 0.0899 0.0899  6 Fe 2.59-2.71, 3 Pd 2.64
Pd2 0.1529 0.6279 0.3280  3 Fe 2.60-2.74, 6 Pd 2.64-2.85, 1 Ir 2.68
Pd3 0.3280 0.1529 0.6279  3 Fe 2.60-2.74, 6 Pd 2.64-2.85, 1 Ir 2.68
Pd4 0.3721 0.6720 0.8471  3 Fe 2.60-2.74, 6 Pd 2.64-2.85, 1 Ir 2.68
Pd5 0.6279 0.3280 0.1529  3 Fe 2.60-2.74, 6 Pd 2.64-2.85, 1 Ir 2.68
Pd6 0.6720 0.8471 0.3721  3 Fe 2.60-2.74, 6 Pd 2.64-2.85, 1 Ir 2.68
Pd7 0.8471 0.3721 0.6720  3 Fe 2.60-2.74, 6 Pd 2.64-2.85, 1 Ir 2.68
Pd8 0.9101 0.9101 0.9101  6 Fe 2.59-2.71, 3 Pd 2.64

Properties
Size of the total moment ... 21.23 μB/f.u.
Volume ... 14.65 Å³ per atom
Space-group type ... R-3 (148)
DFT formation energy ... 0.060 eV/atom
Final energy ... -6.686 eV/atom

---

Record 3
Computed, not measured: an optimized crystal structure of Fe2IrPd at the PBE level of DFT.

a = 5.4664 Å, b = 5.4664 Å, c = 5.4664 Å
α = 103.62°, β = 103.62°, γ = 121.94°
Closest atoms and distances in Å follow each position.
Fractional coordinates of all 8 atoms:
Fe1 0.1183 0.1250 0.4933  2 Ir 2.45, 2 Pd 2.51, 2 Fe 2.65
Fe2 0.3750 0.8817 0.0067  2 Ir 2.45, 2 Pd 2.51, 2 Fe 2.65
Fe3 0.6317 0.6250 0.5067  2 Ir 2.45, 2 Pd 2.51, 2 Fe 2.65
Fe4 0.8750 0.3683 0.9933  2 Ir 2.45, 2 Pd 2.51, 2 Fe 2.65
Ir1 0.0000 0.0000 0.0000  4 Fe 2.45, 2 Pd 2.65
Ir2 0.7500 0.2500 0.5000  4 Fe 2.45, 2 Pd 2.65
Pd1 0.2500 0.7500 0.5000  4 Fe 2.51, 2 Ir 2.65
Pd2 0.5000 0.5000 0.0000  4 Fe 2.51, 2 Ir 2.65

Properties
Size of the total moment ... 6.80 μB/f.u.
Volume ... 15.15 Å³ per atom
Space-group type ... I-42d (122)
DFT formation energy ... 0.495 eV/atom
Final energy ... -7.250 eV/atom

---

Record 4
Computed, not measured: an optimized crystal structure of Fe2IrPd2 at the PBE level of DFT.

a = 4.4073 Å, b = 4.4073 Å, c = 4.7414 Å
α = 90.00°, β = 90.00°, γ = 118.90°
Closest atoms and distances in Å follow each position.
Fractional coordinates of all 5 atoms:
Fe1 0.0000 0.0000 0.2485  2 Fe 2.36-2.38, 2 Ir 2.54
Fe2 0.0000 0.0000 0.7515  2 Fe 2.36-2.38, 2 Ir 2.54
Ir1 0.5000 0.5000 0.5000  4 Fe 2.54, 4 Pd 2.69
Pd1 0.3321 0.6679 0.0000  3 Pd 2.55-2.56, 2 Ir 2.69, 6 Fe 2.78-2.83
Pd2 0.6679 0.3321 0.0000  3 Pd 2.55-2.56, 2 Ir 2.69, 6 Fe 2.78-2.83

Properties
Size of the total moment ... 6.63 μB/f.u.
Volume ... 16.13 Å³ per atom
Space-group type ... Cmmm (65)
DFT formation energy ... 0.477 eV/atom
Final energy ... -6.757 eV/atom

---

Record 5
Computed, not measured: an optimized crystal structure of Fe2Ir2Pd at the PBE level of DFT.

a = 4.2695 Å, b = 4.2695 Å, c = 4.8817 Å
α = 90.07°, β = 90.07°, γ = 116.64°
Closest atoms and distances in Å follow each position.
Fractional coordinates of all 5 atoms:
Fe1 0.0008 0.0008 0.2627  2 Fe 2.32-2.57, 2 Pd 2.58
Fe2 0.9992 0.9992 0.7373  2 Fe 2.32-2.57, 2 Pd 2.58
Ir1 0.3264 0.6736 0.5000  3 Ir 2.50-2.52, 2 Fe 2.64, 2 Pd 2.75
Ir2 0.6736 0.3264 0.5000  3 Ir 2.50-2.52, 2 Fe 2.64, 2 Pd 2.75
Pd1 0.5000 0.5000 0.0000  4 Fe 2.58, 4 Ir 2.75

Properties
Size of the total moment ... 5.72 μB/f.u.
Volume ... 15.91 Å³ per atom
Space-group type ... C2/m (12)
DFT formation energy ... 0.379 eV/atom
Final energy ... -7.589 eV/atom

---

Record 6
Computed, not measured: an optimized crystal structure of Fe2IrPd2 at the PBE level of DFT.

a = 5.9830 Å, b = 5.9830 Å, c = 3.9025 Å
α = 90.00°, β = 90.00°, γ = 90.00°
Closest atoms and distances in Å follow each position.
Fractional coordinates of all 10 atoms:
Fe1 0.1211 0.3789 0.0000  1 Fe 2.05
Fe2 0.3789 0.8789 0.0000  1 Fe 2.05
Fe3 0.6211 0.1211 0.0000  1 Fe 2.05
Fe4 0.8789 0.6211 0.0000  1 Fe 2.05
Ir1 0.0000 0.0000 0.0000  4 Fe 2.38
Ir2 0.5000 0.5000 0.0000  4 Fe 2.38
Pd1 0.1742 0.6742 0.5000  6 Fe 2.61-2.65
Pd2 0.3258 0.1742 0.5000  6 Fe 2.61-2.65
Pd3 0.6742 0.8258 0.5000  6 Fe 2.61-2.65
Pd4 0.8258 0.3258 0.5000  6 Fe 2.61-2.65

Properties
Size of the total moment ... 0.00 μB/f.u.
Volume ... 13.97 Å³ per atom
Space-group type ... P4/mbm (127)
DFT formation energy ... 0.413 eV/atom
Final energy ... -6.821 eV/atom

---

Record 7
Computed, not measured: an optimized crystal structure of Fe2IrPd at the PBE level of DFT.

a = 4.2901 Å, b = 4.2901 Å, c = 4.2901 Å
α = 60.00°, β = 60.00°, γ = 60.00°
Closest atoms and distances in Å follow each position.
Fractional coordinates of all 4 atoms:
Fe1 0.2500 0.2500 0.2500  4 Ir 2.63, 4 Pd 2.63
Fe2 0.7500 0.7500 0.7500  4 Ir 2.63, 4 Pd 2.63
Ir1 0.0000 0.0000 0.0000  8 Fe 2.63
Pd1 0.5000 0.5000 0.5000  8 Fe 2.63

Properties
Size of the total moment ... 7.47 μB/f.u.
Volume ... 13.96 Å³ per atom
Space-group type ... Fm-3m (225)
DFT formation energy ... 0.061 eV/atom
Final energy ... -7.684 eV/atom

---

Record 8
Computed, not measured: an optimized crystal structure of Fe4IrPd at the PBE level of DFT.

a = 4.7459 Å, b = 4.7459 Å, c = 4.7459 Å
α = 60.00°, β = 60.00°, γ = 60.00°
Closest atoms and distances in Å follow each position.
Fractional coordinates of all 6 atoms:
Fe1 0.1247 0.1247 0.1247  6 Fe 2.37-2.38
Fe2 0.1247 0.1247 0.6258  6 Fe 2.37-2.38
Fe3 0.1247 0.6258 0.1247  6 Fe 2.37-2.38
Fe4 0.6258 0.1247 0.1247  6 Fe 2.37-2.38
Ir1 0.7500 0.7500 0.7500  12 Fe 2.78, 4 Pd 2.91
Pd1 0.5000 0.5000 0.5000  12 Fe 2.78, 4 Ir 2.91

Properties
Size of the total moment ... 9.83 μB/f.u.
Volume ... 12.60 Å³ per atom
Space-group type ... F-43m (216)
DFT formation energy ... 0.039 eV/atom
Final energy ... -7.945 eV/atom